Material: CaVN2F
Method: DFT, GGA+U
State: optimized geometry

abc: 3.8596 3.8596 4.0397
angles: 90.00 90.00 90.00
Element x y z (fractional)
Ca 0.0000 0.0000 0.0000
V 0.5000 0.5000 0.5000
N 0.0000 0.5000 0.5000
N 0.5000 0.0000 0.5000
F 0.5000 0.5000 0.0000

## Properties
- ΔE to the lowest computed polymorph: 0.000 eV/atom